Run P
DFT (PBE-GGA) results for an optimized crystal structure of Th3Os2.

a = 11.4073 Å, b = 4.0201 Å, c = 11.2852 Å
α = 90.00°, β = 90.00°, γ = 90.00°
Space group Pnma (No. 62)
One atom of each set of equivalent atoms:
Th: 0.0564 0.2500 0.1328 (multiplicity 4)
Th: 0.1203 0.7500 0.5636 (multiplicity 4)
Th: 0.2192 0.2500 0.8100 (multiplicity 4)
Os: 0.0104 0.7500 0.3185 (multiplicity 4)
Os: 0.1804 0.7500 0.9915 (multiplicity 4)


Run Q
DFT (PBE-GGA) results for an optimized crystal structure of Th3Os2.

a = 3.6105 Å, b = 3.6105 Å, c = 18.7742 Å
α = 90.00°, β = 90.00°, γ = 90.00°
Space group I4/mmm (No. 139)
One atom of each set of equivalent atoms:
Th: 0.0000 0.0000 0.0000 (multiplicity 2)
Th: 0.0000 0.0000 0.1827 (multiplicity 4)
Os: 0.0000 0.0000 0.4007 (multiplicity 4)


Run R
DFT (PBE-GGA) results for an optimized crystal structure of Th3Os2.

a = 7.1630 Å, b = 7.1630 Å, c = 19.2176 Å
α = 90.00°, β = 90.00°, γ = 120.00°
Space group R-3c (No. 167, hexagonal axes)
One atom of each set of equivalent atoms:
Th: 0.0000 0.3374 0.2500 (multiplicity 18)
Os: 0.0000 0.0000 0.1682 (multiplicity 12)


Short version: run P is the most stable of them.


Run P
DFT (PBE-GGA) results for an optimized crystal structure of Th3TlOs.

a = 7.1996 Å, b = 4.9256 Å, c = 16.3630 Å
α = 90.00°, β = 90.00°, γ = 90.00°
Space group Pnma (No. 62)
One atom of each set of equivalent atoms:
Th: 0.0044 0.2500 0.0930 (multiplicity 4)
Th: 0.1329 0.7500 0.4468 (multiplicity 4)
Th: 0.2401 0.2500 0.7185 (multiplicity 4)
Tl: 0.0455 0.2500 0.3153 (multiplicity 4)
Os: 0.2334 0.7500 0.0422 (multiplicity 4)


Run Q
DFT (PBE-GGA) results for an optimized crystal structure of Th3TlOs.

a = 12.1587 Å, b = 5.6350 Å, c = 9.2270 Å
α = 90.00°, β = 111.08°, γ = 90.00°
Space group C2/m (No. 12)
One atom of each set of equivalent atoms:
Th: 0.1314 0.0000 0.2633 (multiplicity 4)
Th: 0.1364 0.0000 0.6480 (multiplicity 4)
Th: 0.1366 0.5000 0.9376 (multiplicity 4)
Tl: 0.0995 0.5000 0.4313 (multiplicity 4)
Os: 0.1068 0.0000 0.9405 (multiplicity 4)


Short version: run P is the most stable of them.


Run P
DFT (PBE-GGA) results for an optimized crystal structure of YTh2Os.

a = 3.9238 Å, b = 9.8544 Å, c = 6.1700 Å
α = 90.00°, β = 108.54°, γ = 90.00°
Space group P2_1/m (No. 11)
One atom of each set of equivalent atoms:
Y: 0.0793 0.2500 0.1575 (multiplicity 2)
Th: 0.3597 0.0641 0.7180 (multiplicity 4)
Os: 0.2118 0.7500 0.4246 (multiplicity 2)


Run Q
DFT (PBE-GGA) results for an optimized crystal structure of YTh2Os.

a = 3.6561 Å, b = 3.6561 Å, c = 8.3140 Å
α = 90.00°, β = 90.00°, γ = 90.00°
Space group P4/mmm (No. 123)
One atom of each set of equivalent atoms:
Y: 0.0000 0.0000 0.0000 (multiplicity 1)
Th: 0.5000 0.5000 0.3025 (multiplicity 2)
Os: 0.0000 0.0000 0.5000 (multiplicity 1)


Short version: run P is the most stable of them.


Run P
DFT (PBE-GGA) results for an optimized crystal structure of ThZr2Os.

a = 4.3447 Å, b = 4.3447 Å, c = 18.5792 Å
α = 90.00°, β = 90.00°, γ = 120.00°
Space group R-3m (No. 166, hexagonal axes)
One atom of each set of equivalent atoms:
Th: 0.0000 0.0000 0.0000 (multiplicity 3)
Zr: 0.0000 0.0000 0.2179 (multiplicity 6)
Os: 0.0000 0.0000 0.5000 (multiplicity 3)


Run Q
DFT (PBE-GGA) results for an optimized crystal structure of ThZr2Os.

a = 3.3274 Å, b = 3.3274 Å, c = 8.1152 Å
α = 90.00°, β = 90.00°, γ = 90.00°
Space group P4/mmm (No. 123)
One atom of each set of equivalent atoms:
Th: 0.0000 0.0000 0.0000 (multiplicity 1)
Zr: 0.5000 0.5000 0.3025 (multiplicity 2)
Os: 0.0000 0.0000 0.5000 (multiplicity 1)


Short version: run Q is the most stable of them.


Run P
DFT (PBE-GGA) results for an optimized crystal structure of TiTlOs3.

a = 4.8376 Å, b = 4.8376 Å, c = 4.8376 Å
α = 90.00°, β = 90.00°, γ = 90.00°
Space group Pm-3m (No. 221)
One atom of each set of equivalent atoms:
Ti: 0.0000 0.0000 0.0000 (multiplicity 1)
Tl: 0.5000 0.5000 0.5000 (multiplicity 1)
Os: 0.0000 0.5000 0.5000 (multiplicity 3)


Run Q
DFT (PBE-GGA) results for an optimized crystal structure of TiTlOs3.

a = 4.6145 Å, b = 4.6145 Å, c = 4.6145 Å
α = 90.00°, β = 90.00°, γ = 90.00°
Space group Pm-3m (No. 221)
One atom of each set of equivalent atoms:
Ti: 0.0000 0.0000 0.0000 (multiplicity 1)
Tl: 0.5000 0.5000 0.5000 (multiplicity 1)
Os: 0.0000 0.0000 0.5000 (multiplicity 3)


Short version: run Q is the most stable of them.


Run P
DFT (PBE-GGA) results for an optimized crystal structure of TiTlOs2.

a = 4.1084 Å, b = 4.1084 Å, c = 18.1051 Å
α = 90.00°, β = 90.00°, γ = 90.00°
Space group I-42d (No. 122)
One atom of each set of equivalent atoms:
Ti: 0.0000 0.0000 0.0000 (multiplicity 4)
Tl: 0.0000 0.0000 0.5000 (multiplicity 4)
Os: 0.1713 0.2500 0.1250 (multiplicity 8)


Run Q
DFT (PBE-GGA) results for an optimized crystal structure of TiTlOs2.

a = 6.3961 Å, b = 6.3961 Å, c = 6.3961 Å
α = 90.00°, β = 90.00°, γ = 90.00°
Space group Fm-3m (No. 225)
One atom of each set of equivalent atoms:
Ti: 0.0000 0.0000 0.0000 (multiplicity 4)
Tl: 0.0000 0.0000 0.5000 (multiplicity 4)
Os: 0.2500 0.2500 0.2500 (multiplicity 8)


Short version: run Q is the most stable of them.